No. 1
A geometry-optimized Rb3MgTl3Cl8 structure, computed with PBE.

Cell: 9.206 9.209 9.095 Å, 120.44 90.00 120.00°
Atoms (fractional coordinates):
Rb1 0.500 0.000 0.500
Rb2 0.500 0.500 0.500
Rb3 0.000 0.500 0.500
Cl1 0.200 0.400 0.703
Cl2 0.751 0.502 0.753
Cl3 0.197 0.997 0.297
Cl4 0.803 0.003 0.703
Cl5 0.800 0.997 0.297
Cl6 0.800 0.600 0.297
Cl7 0.249 0.498 0.247
Cl8 0.200 0.003 0.703
Tl1 0.000 0.000 0.000
Tl2 0.500 0.500 0.000
Tl3 0.000 0.500 0.000
Mg1 0.000 0.000 0.500

Summary:
Total magnetic moment in μB/f.u.: 0.00
Symmetry: No. 166
N(E_F) in states/eV per cell: 0.00
Formation energy (no corrections) in eV per atom: -1.55

=====

No. 2
A geometry-optimized Rb2MgTlCl6 structure, computed with PBE.

Cell: 7.439 7.439 14.474 Å, 75.11 75.11 60.00°
Atoms (fractional coordinates):
Mg1 0.585 0.585 0.246
Mg2 0.415 0.415 0.754
Cl1 0.617 0.617 0.621
Cl2 0.224 0.224 0.838
Cl3 0.617 0.145 0.621
Cl4 0.286 0.776 0.162
Cl5 0.776 0.776 0.162
Cl6 0.776 0.286 0.162
Cl7 0.855 0.383 0.379
Cl8 0.145 0.617 0.621
Cl9 0.383 0.383 0.379
Cl10 0.383 0.855 0.379
Cl11 0.224 0.714 0.838
Cl12 0.714 0.224 0.838
Rb1 0.885 0.885 0.346
Rb2 0.115 0.115 0.654
Rb3 0.722 0.722 0.834
Rb4 0.278 0.278 0.166
Tl1 0.500 0.500 0.500
Tl2 0.000 0.000 0.000

Summary:
Total magnetic moment in μB/f.u.: 0.00
Symmetry: No. 166
Formation energy (no corrections) in eV per atom: -1.57

=====

No. 3
A geometry-optimized RbMgTl2Cl5 structure, computed with PBE.

Cell: 4.945 7.451 8.841 Å, 114.92 106.24 90.00°
Atoms (fractional coordinates):
Cl1 0.000 0.000 0.000
Cl2 0.619 0.880 0.238
Cl3 0.619 0.358 0.238
Cl4 0.381 0.120 0.762
Cl5 0.381 0.642 0.762
Mg1 0.500 0.000 0.000
Tl1 0.207 0.207 0.414
Tl2 0.793 0.793 0.586
Rb1 0.000 0.500 0.000

Summary:
Total magnetic moment in μB/f.u.: 0.00
Symmetry: No. 71
N(E_F) in states/eV per cell: 0.00
Formation energy (no corrections) in eV per atom: -1.50

=====

No. 4
A geometry-optimized RbTmMgCl6 structure, computed with PBE.

Cell: 6.734 6.734 14.696 Å, 90.00 90.00 120.00°
Atoms (fractional coordinates):
Cl1 0.629 0.620 0.650
Cl2 0.371 0.380 0.350
Cl3 0.991 0.620 0.850
Cl4 0.009 0.629 0.350
Cl5 0.620 0.629 0.150
Cl6 0.371 0.991 0.150
Cl7 0.991 0.371 0.650
Cl8 0.380 0.009 0.650
Cl9 0.629 0.009 0.850
Cl10 0.380 0.371 0.850
Cl11 0.009 0.380 0.150
Cl12 0.620 0.991 0.350
Rb1 0.000 0.000 0.000
Rb2 0.000 0.000 0.500
Tm1 0.667 0.333 0.250
Tm2 0.333 0.667 0.750
Mg1 0.667 0.333 0.750
Mg2 0.333 0.667 0.250

Summary:
Total magnetic moment in μB/f.u.: 0.00
Symmetry: No. 163
N(E_F) in states/eV per cell: 0.00
Formation energy (no corrections) in eV per atom: -2.11

=====

What did the second record say?
A geometry-optimized Rb2MgTlCl6 structure, computed with PBE.

Cell: 7.439 7.439 14.474 Å, 75.11 75.11 60.00°
Atoms (fractional coordinates):
Mg1 0.585 0.585 0.246
Mg2 0.415 0.415 0.754
Cl1 0.617 0.617 0.621
Cl2 0.224 0.224 0.838
Cl3 0.617 0.145 0.621
Cl4 0.286 0.776 0.162
Cl5 0.776 0.776 0.162
Cl6 0.776 0.286 0.162
Cl7 0.855 0.383 0.379
Cl8 0.145 0.617 0.621
Cl9 0.383 0.383 0.379
Cl10 0.383 0.855 0.379
Cl11 0.224 0.714 0.838
Cl12 0.714 0.224 0.838
Rb1 0.885 0.885 0.346
Rb2 0.115 0.115 0.654
Rb3 0.722 0.722 0.834
Rb4 0.278 0.278 0.166
Tl1 0.500 0.500 0.500
Tl2 0.000 0.000 0.000

Summary:
Total magnetic moment in μB/f.u.: 0.00
Symmetry: No. 166
Formation energy (no corrections) in eV per atom: -1.57